Entry 1:
Sm2Zn2Ag3 after structural relaxation, computed with PBE.

Results
Crystal system: orthorhombic
Energy above the most stable polymorph in this dataset, meV/atom: 0.0
Calculated volume, Å³/atom: 22.174

abc: 4.2081 19.7072 7.4866
angles: 90.00 90.00 90.00
With the nearest neighbours (Å) after each atom.
Space group Cmcm (No. 63)
Asymmetric unit:
Sm1 0.0000 0.0590 0.2500 x4  9 Ag 3.16-3.49
Sm2 0.0000 0.1595 0.7500 x4  6 Ag 3.10-3.15, 6 Zn 3.17-3.29
Zn1 0.0000 0.3093 0.5564 x8  4 Ag 2.64-2.84, 1 Zn 2.90
Ag1 0.0000 0.2247 0.2500 x4  6 Zn 2.64-2.84
Ag2 0.0000 0.4364 0.0652 x8  1 Zn 2.66, 2 Ag 2.69-2.77



Entry 2:
SmZn12Ag6 after structural relaxation, computed with PBE.

Results
Crystal system: trigonal
Calculated volume, Å³/atom: 17.996

abc: 11.5269 11.5269 8.9143
angles: 90.00 90.00 120.00
With the nearest neighbours (Å) after each atom.
Space group R-3m (No. 166, hexagonal axes)
Asymmetric unit:
Sm1 0.0000 0.0000 0.0000 x3  6 Zn 3.09
Zn1 0.0000 0.3920 0.5000 x18  3 Zn 2.49-2.75, 4 Ag 2.60-2.73
Zn2 0.0825 0.1650 0.2928 x18  4 Ag 2.69-2.83, 4 Zn 2.75-2.85
Ag1 0.0560 0.5280 0.2344 x18  8 Zn 2.60-2.83



Entry 3:
Sm4Zn5Ag after structural relaxation, computed with PBE.

Results
Crystal system: tetragonal
Calculated volume, Å³/atom: 22.550

abc: 3.5735 3.5735 17.6586
angles: 90.00 90.00 90.00
With the nearest neighbours (Å) after each atom.
Space group P4/mmm (No. 123)
Asymmetric unit:
Sm1 0.0000 0.0000 0.1057 x2  8 Zn 3.11-3.14
Sm2 0.0000 0.0000 0.3127 x2  8 Zn 3.13-3.17, 1 Ag 3.31
Zn1 0.5000 0.5000 0.0000 x1  8 Sm 3.14
Zn2 0.5000 0.5000 0.2086 x2  8 Sm 3.11-3.13
Zn3 0.5000 0.5000 0.4214 x2  1 Zn 2.78, 4 Ag 2.88
Ag1 0.0000 0.0000 0.5000 x1  8 Zn 2.88



Across the entries above, E takes the values -0.2327; -0.1448; -0.2250 Ry per atom, respectively.